Record 1
# Ba2DyS3 | OQMD via LeMat-Bulk | GGA-PBE | relaxed
data_Ba2DyS3
_chemical_formula_sum 'Ba2 Dy1 S3'
_cell_length_a 4.2450
_cell_length_b 4.2450
_cell_length_c 10.8613
_cell_angle_alpha 90.00
_cell_angle_beta 90.00
_cell_angle_gamma 120.00
_space_group_name_H-M_alt 'P -3 m 1'
_space_group_IT_number 164
_space_group_name_Hall '-P 3 2"'
loop_
_atom_site_label
_atom_site_type_symbol
_atom_site_fract_x
_atom_site_fract_y
_atom_site_fract_z
Ba1 Ba 0.3333 0.6667 0.1776
Dy1 Dy 0.0000 0.0000 0.5000
S1 S 0.0000 0.0000 0.0000
S2 S 0.3333 0.6667 0.6330
# Calculated total energy (eV per atom): -5.473

---

Record 2
# BaDy2S3 | OQMD via LeMat-Bulk | GGA-PBE | relaxed
data_BaDy2S3
_chemical_formula_sum 'Ba1 Dy2 S3'
_cell_length_a 4.0383
_cell_length_b 4.0383
_cell_length_c 10.3093
_cell_angle_alpha 90.00
_cell_angle_beta 90.00
_cell_angle_gamma 120.00
_space_group_name_H-M_alt 'P -3 m 1'
_space_group_IT_number 164
_space_group_name_Hall '-P 3 2"'
loop_
_atom_site_label
_atom_site_type_symbol
_atom_site_fract_x
_atom_site_fract_y
_atom_site_fract_z
Ba1 Ba 0.0000 0.0000 0.0000
Dy1 Dy 0.3333 0.6667 0.6498
S1 S 0.0000 0.0000 0.5000
S2 S 0.3333 0.6667 0.2032
# Calculated total energy (eV per atom): -5.914

---

Record 3
# BaDyS2 | OQMD via LeMat-Bulk | GGA-PBE | relaxed
data_BaDyS2
_chemical_formula_sum 'Ba1 Dy1 S2'
_cell_length_a 4.232
_cell_length_b 4.232
_cell_length_c 5.960
_cell_angle_alpha 90.00
_cell_angle_beta 90.00
_cell_angle_gamma 90.00
_space_group_name_H-M_alt 'P 4/m m m'
_space_group_IT_number 123
_space_group_name_Hall '-P 4 2'
loop_
_atom_site_label
_atom_site_type_symbol
_atom_site_fract_x
_atom_site_fract_y
_atom_site_fract_z
Ba1 Ba 0.000 0.000 0.000
Dy1 Dy 0.500 0.500 0.500
S1 S 0.000 0.000 0.500
S2 S 0.500 0.500 0.000
# Calculated total energy (eV per atom): -5.480

---

Record 4
# BaDyTlS3 | OQMD via LeMat-Bulk | GGA-PBE | relaxed
data_BaDyTlS3
_chemical_formula_sum 'Ba4 Dy4 Tl4 S12'
_cell_length_a 4.126
_cell_length_b 15.503
_cell_length_c 11.715
_cell_angle_alpha 90.00
_cell_angle_beta 90.00
_cell_angle_gamma 90.00
_space_group_name_H-M_alt 'C m c m'
_space_group_IT_number 63
_space_group_name_Hall '-C 2c 2'
loop_
_atom_site_label
_atom_site_type_symbol
_atom_site_fract_x
_atom_site_fract_y
_atom_site_fract_z
Ba1 Ba 0.000 0.156 0.250
Dy1 Dy 0.000 0.500 0.000
Tl1 Tl 0.000 0.132 0.750
S1 S 0.000 0.115 0.002
S2 S 0.000 0.497 0.750
# Calculated total energy (eV per atom): -5.013